Entry from the Alexandria database: a relaxed Y2Zn2Co15 crystal (GGA-PBE).

```
data_Y2Zn2Co15
_chemical_formula_sum 'Y6 Zn6 Co45'
_cell_length_a 8.3825
_cell_length_b 8.3825
_cell_length_c 12.1049
_cell_angle_alpha 90.00
_cell_angle_beta 90.00
_cell_angle_gamma 120.00
_symmetry_space_group_name_H-M 'R -3 m'
_symmetry_Int_Tables_number 166
_symmetry_space_group_name_Hall '-R 3 2"'
loop_
_atom_site_label
_atom_site_type_symbol
_atom_site_fract_x
_atom_site_fract_y
_atom_site_fract_z
_atom_site_occupancy
Y1 Y 0.0000 0.0000 0.1518 1
Zn1 Zn 0.0000 0.0000 0.3971 1
Co1 Co 0.0000 0.2893 0.5000 1
Co2 Co 0.0000 0.5000 0.0000 1
Co3 Co 0.0023 0.5012 0.6506 1
```

- volume (Å³/cell) = 737
- formation energy from the elements (eV/atom) = -0.093
- uncorrected energy (eV per atom) = -6.5177

***

Entry from the Alexandria database: a relaxed YZr3Co2 crystal (GGA-PBE).

```
data_YZr3Co2
_chemical_formula_sum 'Y4 Zr12 Co8'
_cell_length_a 15.5861
_cell_length_b 4.6790
_cell_length_c 7.6527
_cell_angle_alpha 90.00
_cell_angle_beta 119.10
_cell_angle_gamma 90.00
_symmetry_space_group_name_H-M 'C 1 2/m 1'
_symmetry_Int_Tables_number 12
loop_
_symmetry_equiv_pos_as_xyz
'x,y,z'
'-x,-y,-z'
'-x,y,-z'
'x,-y,z'
'x+1/2,y+1/2,z'
'-x+1/2,-y+1/2,-z'
'-x+1/2,y+1/2,-z'
'x+1/2,-y+1/2,z'
loop_
_atom_site_label
_atom_site_type_symbol
_atom_site_fract_x
_atom_site_fract_y
_atom_site_fract_z
_atom_site_occupancy
Y1 Y 0.1465 0.0000 0.2332 1
Zr1 Zr 0.0553 0.0000 0.7283 1
Zr2 Zr 0.1037 0.5000 0.5036 1
Zr3 Zr 0.1927 0.5000 0.9822 1
Co1 Co 0.0152 0.5000 0.8698 1
Co2 Co 0.1937 0.0000 0.6404 1
```

- volume (Å³/cell) = 488
- formation energy from the elements (eV/atom) = -0.130
- uncorrected energy (eV per atom) = -7.8500

***

formation energy from the elements of number 2 (YZr3Co2)? -0.130 eV/atom